## Ga2BiPd (PBE-GGA)

Data for a geometry-optimized Ga2BiPd structure.

Output
DOS(E_F) = 0.335 states/eV/atom
total magnetic moment = 0.00 μB/cell
theoretical density = 9.3 Mg/m³
volume = 20.33 Å³/atom
E = -15.8 eV/f.u.

Cell: 3.2207 3.2207 7.8397 Å, 90.00 90.00 90.00°
Atoms (fractional coordinates):
Pd 0.5000 0.5000 0.0000
Ga 0.0000 0.0000 0.1903
Ga 0.0000 0.0000 0.8097
Bi 0.5000 0.5000 0.5000